[1]
# K2NaVS4 (PBE, relaxed)
data_K2NaVS4
_chemical_formula_sum 'K4 Na2 V2 S8'
_space_group_name_H-M_alt 'P m n 21'
_space_group_IT_number 31
_space_group_name_Hall 'P 2ac -2'
_cell_length_a 8.8298
_cell_length_b 7.4097
_cell_length_c 7.3051
_cell_angle_alpha 90.00
_cell_angle_beta 90.00
_cell_angle_gamma 90.00
loop_
_atom_site_label
_atom_site_type_symbol
_atom_site_fract_x
_atom_site_fract_y
_atom_site_fract_z
K1 K 0.2493 0.2129 0.0000
Na1 Na 0.0000 0.7575 0.9654
V1 V 0.0000 0.2016 0.4603
S1 S 0.0000 0.0549 0.7182
S2 S 0.0000 0.9993 0.2468
S3 S 0.2011 0.3648 0.4330
# Magnetization, μB/f.u.: 0.0
# Total energy, eV per atom: -4.746

***

[2]
# KNaVS2 (PBE, relaxed)
data_KNaVS2
_chemical_formula_sum 'K1 Na1 V1 S2'
_space_group_name_H-M_alt 'P 4/m m m'
_space_group_IT_number 123
_space_group_name_Hall '-P 4 2'
_cell_length_a 4.7242
_cell_length_b 4.7242
_cell_length_c 5.3305
_cell_angle_alpha 90.00
_cell_angle_beta 90.00
_cell_angle_gamma 90.00
loop_
_atom_site_label
_atom_site_type_symbol
_atom_site_fract_x
_atom_site_fract_y
_atom_site_fract_z
K1 K 0.0000 0.0000 0.0000
Na1 Na 0.5000 0.5000 0.0000
V1 V 0.5000 0.5000 0.5000
S1 S 0.0000 0.5000 0.5000
# Magnetization, μB/f.u.: 1.8
# Total energy, eV per atom: -4.386

***

[3]
# KNa2VS (PBE, relaxed)
data_KNa2VS
_chemical_formula_sum 'K1 Na2 V1 S1'
_space_group_name_H-M_alt 'P 4/m m m'
_space_group_IT_number 123
_space_group_name_Hall '-P 4 2'
_cell_length_a 5.7717
_cell_length_b 5.7717
_cell_length_c 4.6140
_cell_angle_alpha 90.00
_cell_angle_beta 90.00
_cell_angle_gamma 90.00
loop_
_atom_site_label
_atom_site_type_symbol
_atom_site_fract_x
_atom_site_fract_y
_atom_site_fract_z
K1 K 0.0000 0.0000 0.0000
Na1 Na 0.0000 0.5000 0.5000
V1 V 0.5000 0.5000 0.0000
S1 S 0.5000 0.5000 0.5000
# Magnetization, μB/f.u.: 3.3
# Total energy, eV per atom: -3.454

***

[4]
# KNa2VS4 (PBE, relaxed)
data_KNa2VS4
_chemical_formula_sum 'K4 Na8 V4 S16'
_space_group_name_H-M_alt 'I m m a'
_space_group_IT_number 74
_space_group_name_Hall '-I 2b 2'
_cell_length_a 7.1179
_cell_length_b 7.9973
_cell_length_c 12.9322
_cell_angle_alpha 90.00
_cell_angle_beta 90.00
_cell_angle_gamma 90.00
loop_
_atom_site_label
_atom_site_type_symbol
_atom_site_fract_x
_atom_site_fract_y
_atom_site_fract_z
K1 K 0.0000 0.0000 0.0000
Na1 Na 0.0000 0.0000 0.5000
Na2 Na 0.2500 0.2500 0.2500
V1 V 0.2500 0.2500 0.7500
S1 S 0.0000 0.0365 0.7579
S2 S 0.2140 0.2500 0.5737
# Magnetization, μB/f.u.: 0.0
# Total energy, eV per atom: -4.476

***

[5]
# K3Na2WS6 (PBE, relaxed)
data_K3Na2WS6
_chemical_formula_sum 'K6 Na4 W2 S12'
_space_group_name_H-M_alt 'C 1 2/m 1'
_space_group_IT_number 12
_space_group_name_Hall '-C 2y'
_cell_length_a 7.0960
_cell_length_b 12.2291
_cell_length_c 7.4426
_cell_angle_alpha 90.00
_cell_angle_beta 108.71
_cell_angle_gamma 90.00
loop_
_atom_site_label
_atom_site_type_symbol
_atom_site_fract_x
_atom_site_fract_y
_atom_site_fract_z
K1 K 0.0000 0.0000 0.0000
K2 K 0.0000 0.3221 0.0000
Na1 Na 0.0000 0.1663 0.5000
W1 W 0.0000 0.5000 0.5000
S1 S 0.2066 0.3588 0.6944
S2 S 0.2104 0.5000 0.3035
# Magnetization, μB/f.u.: 1.1
# Total energy, eV per atom: -4.440

***

[6]
# KNaWS4 (PBE, relaxed)
data_KNaWS4
_chemical_formula_sum 'K2 Na2 W2 S8'
_space_group_name_H-M_alt 'P 1 21/m 1'
_space_group_IT_number 11
_space_group_name_Hall '-P 2yb'
_cell_length_a 6.7816
_cell_length_b 7.0201
_cell_length_c 8.7694
_cell_angle_alpha 90.00
_cell_angle_beta 107.46
_cell_angle_gamma 90.00
loop_
_atom_site_label
_atom_site_type_symbol
_atom_site_fract_x
_atom_site_fract_y
_atom_site_fract_z
K1 K 0.2274 0.2500 0.4312
Na1 Na 0.2733 0.2500 0.9528
W1 W 0.2822 0.7500 0.1855
S1 S 0.0825 0.7500 0.3446
S2 S 0.0983 0.7500 0.9329
S3 S 0.4901 0.0005 0.2344
# Magnetization, μB/f.u.: 0.0
# Total energy, eV per atom: -5.467

***

[7]
# KNaZnS2 (PBE, relaxed)
data_KNaZnS2
_chemical_formula_sum 'K4 Na4 Zn4 S8'
_space_group_name_H-M_alt 'C m m e'
_space_group_IT_number 67
_space_group_name_Hall '-C 2a 2'
_cell_length_a 6.3956
_cell_length_b 14.0898
_cell_length_c 6.0210
_cell_angle_alpha 90.00
_cell_angle_beta 90.00
_cell_angle_gamma 90.00
loop_
_atom_site_label
_atom_site_type_symbol
_atom_site_fract_x
_atom_site_fract_y
_atom_site_fract_z
K1 K 0.0000 0.2500 0.2176
Na1 Na 0.2500 0.0000 0.5000
Zn1 Zn 0.0000 0.0000 0.0000
S1 S 0.0000 0.1147 0.7636
# Magnetization, μB/f.u.: 0.0
# Total energy, eV per atom: -3.295

***

[8]
# K2NaZr3S8 (PBE, relaxed)
data_K2NaZr3S8
_chemical_formula_sum 'K6 Na3 Zr9 S24'
_space_group_name_H-M_alt 'R 3 m'
_space_group_IT_number 160
_space_group_name_Hall 'R 3 -2"'
_cell_length_a 7.6273
_cell_length_b 7.6273
_cell_length_c 22.9542
_cell_angle_alpha 90.00
_cell_angle_beta 90.00
_cell_angle_gamma 120.00
loop_
_atom_site_label
_atom_site_type_symbol
_atom_site_fract_x
_atom_site_fract_y
_atom_site_fract_z
K1 K 0.0000 0.0000 0.0000
K2 K 0.0000 0.0000 0.3581
Na1 Na 0.0000 0.0000 0.7335
Zr1 Zr 0.1670 0.3340 0.1925
S1 S 0.0000 0.0000 0.1301
S2 S 0.0000 0.0000 0.5913
S3 S 0.0218 0.5109 0.1295
S4 S 0.1783 0.3566 0.9195
# Magnetization, μB/f.u.: 0.0
# Total energy, eV per atom: -5.766

***

[9]
# K4NaZr3S8 (PBE, relaxed)
data_K4NaZr3S8
_chemical_formula_sum 'K12 Na3 Zr9 S24'
_space_group_name_H-M_alt 'R -3 m'
_space_group_IT_number 166
_space_group_name_Hall '-R 3 2"'
_cell_length_a 7.7719
_cell_length_b 7.7719
_cell_length_c 21.9549
_cell_angle_alpha 90.00
_cell_angle_beta 90.00
_cell_angle_gamma 120.00
loop_
_atom_site_label
_atom_site_type_symbol
_atom_site_fract_x
_atom_site_fract_y
_atom_site_fract_z
K1 K 0.0000 0.0000 0.0000
K2 K 0.0000 0.5000 0.0000
Na1 Na 0.0000 0.0000 0.5000
Zr1 Zr 0.0000 0.5000 0.5000
S1 S 0.0000 0.0000 0.2328
S2 S 0.0199 0.5100 0.7679
# Magnetization, μB/f.u.: 0.0
# Total energy, eV per atom: -5.479

***

[10]
# K5NaSb2 (PBE, relaxed)
data_K5NaSb2
_chemical_formula_sum 'K10 Na2 Sb4'
_space_group_name_H-M_alt 'P 63/m m c'
_space_group_IT_number 194
_space_group_name_Hall '-P 6c 2c'
_cell_length_a 6.1545
_cell_length_b 6.1545
_cell_length_c 21.5723
_cell_angle_alpha 90.00
_cell_angle_beta 90.00
_cell_angle_gamma 120.00
loop_
_atom_site_label
_atom_site_type_symbol
_atom_site_fract_x
_atom_site_fract_y
_atom_site_fract_z
K1 K 0.0000 0.0000 0.1271
K2 K 0.3333 0.6667 0.0515
K3 K 0.3333 0.6667 0.2500
Na1 Na 0.3333 0.6667 0.7500
Sb1 Sb 0.3333 0.6667 0.6147
# Magnetization, μB/f.u.: 0.0
# Total energy, eV per atom: -2.256

***

[11]
# KNa2Sb2 (PBE, relaxed)
data_KNa2Sb2
_chemical_formula_sum 'K2 Na4 Sb4'
_space_group_name_H-M_alt 'I 4/m m m'
_space_group_IT_number 139
_space_group_name_Hall '-I 4 2'
_cell_length_a 5.1466
_cell_length_b 5.1466
_cell_length_c 13.0948
_cell_angle_alpha 90.00
_cell_angle_beta 90.00
_cell_angle_gamma 90.00
loop_
_atom_site_label
_atom_site_type_symbol
_atom_site_fract_x
_atom_site_fract_y
_atom_site_fract_z
K1 K 0.0000 0.0000 0.0000
Na1 Na 0.0000 0.5000 0.2500
Sb1 Sb 0.0000 0.0000 0.3939
# Magnetization, μB/f.u.: 0.0
# Total energy, eV per atom: -2.756

***

[12]
# K2NaSb2 (PBE, relaxed)
data_K2NaSb2
_chemical_formula_sum 'K4 Na2 Sb4'
_space_group_name_H-M_alt 'P 4/m b m'
_space_group_IT_number 127
_space_group_name_Hall '-P 4 2ab'
_cell_length_a 9.5759
_cell_length_b 9.5759
_cell_length_c 4.1197
_cell_angle_alpha 90.00
_cell_angle_beta 90.00
_cell_angle_gamma 90.00
loop_
_atom_site_label
_atom_site_type_symbol
_atom_site_fract_x
_atom_site_fract_y
_atom_site_fract_z
K1 K 0.1834 0.3166 0.0000
Na1 Na 0.0000 0.0000 0.0000
Sb1 Sb 0.1066 0.6066 0.5000
# Magnetization, μB/f.u.: 0.0
# Total energy, eV per atom: -2.505

***

[13]
# K3NaSb (PBE, relaxed)
data_K3NaSb
_chemical_formula_sum 'K6 Na2 Sb2'
_space_group_name_H-M_alt 'P 1'
_space_group_IT_number 1
_space_group_name_Hall 'P 1'
_cell_length_a 7.4136
_cell_length_b 8.8771
_cell_length_c 8.8936
_cell_angle_alpha 65.82
_cell_angle_beta 66.51
_cell_angle_gamma 66.45
loop_
_atom_site_label
_atom_site_type_symbol
_atom_site_fract_x
_atom_site_fract_y
_atom_site_fract_z
K1 K 0.0000 0.0000 0.0000
K2 K 0.0448 0.0213 0.4836
K3 K 0.0916 0.5047 0.5062
K4 K 0.4994 0.2919 0.7075
K5 K 0.5447 0.7716 0.7331
K6 K 0.5925 0.7987 0.2125
Na1 Na 0.2941 0.3955 0.1085
Na2 Na 0.7928 0.3982 0.1093
Sb1 Sb 0.0445 0.6533 0.8522
Sb2 Sb 0.5448 0.1406 0.3650
# Magnetization, μB/f.u.: 0.7
# Total energy, eV per atom: -1.994

***

[14]
# K2NaSb2 (PBE, relaxed)
data_K2NaSb2
_chemical_formula_sum 'K8 Na4 Sb8'
_space_group_name_H-M_alt 'C 1 2/c 1'
_space_group_IT_number 15
_space_group_name_Hall '-C 2yc'
_cell_length_a 11.7928
_cell_length_b 6.8840
_cell_length_c 9.6875
_cell_angle_alpha 90.00
_cell_angle_beta 101.21
_cell_angle_gamma 90.00
loop_
_atom_site_label
_atom_site_type_symbol
_atom_site_fract_x
_atom_site_fract_y
_atom_site_fract_z
K1 K 0.1513 0.1461 0.1499
Na1 Na 0.0000 0.4023 0.7500
Sb1 Sb 0.1441 0.3459 0.5037
# Magnetization, μB/f.u.: 0.2
# Total energy, eV per atom: -2.723

***

[15]
# K3NaSb (PBE, relaxed)
data_K3NaSb
_chemical_formula_sum 'K3 Na1 Sb1'
_space_group_name_H-M_alt 'P m -3 m'
_space_group_IT_number 221
_space_group_name_Hall '-P 4 2 3'
_cell_length_a 6.8020
_cell_length_b 6.8020
_cell_length_c 6.8020
_cell_angle_alpha 90.00
_cell_angle_beta 90.00
_cell_angle_gamma 90.00
loop_
_atom_site_label
_atom_site_type_symbol
_atom_site_fract_x
_atom_site_fract_y
_atom_site_fract_z
K1 K 0.0000 0.0000 0.5000
Na1 Na 0.5000 0.5000 0.5000
Sb1 Sb 0.0000 0.0000 0.0000
# Magnetization, μB/f.u.: 1.0
# Total energy, eV per atom: -1.861

***

[16]
# K2NaSb2 (PBE, relaxed)
data_K2NaSb2
_chemical_formula_sum 'K4 Na2 Sb4'
_space_group_name_H-M_alt 'P 4/m b m'
_space_group_IT_number 127
_space_group_name_Hall '-P 4 2ab'
_cell_length_a 8.3157
_cell_length_b 8.3157
_cell_length_c 5.4466
_cell_angle_alpha 90.00
_cell_angle_beta 90.00
_cell_angle_gamma 90.00
loop_
_atom_site_label
_atom_site_type_symbol
_atom_site_fract_x
_atom_site_fract_y
_atom_site_fract_z
K1 K 0.1709 0.3291 0.0000
Na1 Na 0.0000 0.0000 0.5000
Sb1 Sb 0.1206 0.6206 0.5000
# Magnetization, μB/f.u.: 0.0
# Total energy, eV per atom: -2.724

***

[17]
# K3Na4Sb4 (PBE, relaxed)
data_K3Na4Sb4
_chemical_formula_sum 'K6 Na8 Sb8'
_space_group_name_H-M_alt 'I m m m'
_space_group_IT_number 71
_space_group_name_Hall '-I 2 2'
_cell_length_a 5.3337
_cell_length_b 8.1849
_cell_length_c 17.7321
_cell_angle_alpha 90.00
_cell_angle_beta 90.00
_cell_angle_gamma 90.00
loop_
_atom_site_label
_atom_site_type_symbol
_atom_site_fract_x
_atom_site_fract_y
_atom_site_fract_z
K1 K 0.0000 0.0000 0.0000
K2 K 0.0000 0.5000 0.1312
Na1 Na 0.0000 0.2941 0.3237
Sb1 Sb 0.0000 0.0000 0.2038
Sb2 Sb 0.0000 0.1665 0.5000
# Magnetization, μB/f.u.: 0.0
# Total energy, eV per atom: -2.622

***

[18]
# K2NaSb2 (PBE, relaxed)
data_K2NaSb2
_chemical_formula_sum 'K4 Na2 Sb4'
_space_group_name_H-M_alt 'I 4/m m m'
_space_group_IT_number 139
_space_group_name_Hall '-I 4 2'
_cell_length_a 5.2008
_cell_length_b 5.2008
_cell_length_c 14.9311
_cell_angle_alpha 90.00
_cell_angle_beta 90.00
_cell_angle_gamma 90.00
loop_
_atom_site_label
_atom_site_type_symbol
_atom_site_fract_x
_atom_site_fract_y
_atom_site_fract_z
K1 K 0.0000 0.5000 0.2500
Na1 Na 0.0000 0.0000 0.0000
Sb1 Sb 0.0000 0.0000 0.4078
# Magnetization, μB/f.u.: 0.0
# Total energy, eV per atom: -2.515

***

[19]
# KNaSb5 (PBE, relaxed)
data_KNaSb5
_chemical_formula_sum 'K4 Na4 Sb20'
_space_group_name_H-M_alt 'C 1 2/c 1'
_space_group_IT_number 15
_space_group_name_Hall '-C 2yc'
_cell_length_a 5.9675
_cell_length_b 12.9027
_cell_length_c 12.9253
_cell_angle_alpha 90.00
_cell_angle_beta 98.72
_cell_angle_gamma 90.00
loop_
_atom_site_label
_atom_site_type_symbol
_atom_site_fract_x
_atom_site_fract_y
_atom_site_fract_z
K1 K 0.0000 0.0355 0.2500
Na1 Na 0.0000 0.5000 0.0000
Sb1 Sb 0.0000 0.3703 0.2500
Sb2 Sb 0.1388 0.1607 0.5302
Sb3 Sb 0.1744 0.2579 0.8461
# Magnetization, μB/f.u.: 0.0
# Total energy, eV per atom: -3.400

***

[20]
# KNa2Sb2 (PBE, relaxed)
data_KNa2Sb2
_chemical_formula_sum 'K2 Na4 Sb4'
_space_group_name_H-M_alt 'C 1 2/m 1'
_space_group_IT_number 12
_space_group_name_Hall '-C 2y'
_cell_length_a 12.1104
_cell_length_b 5.1642
_cell_length_c 6.1603
_cell_angle_alpha 90.00
_cell_angle_beta 94.75
_cell_angle_gamma 90.00
loop_
_atom_site_label
_atom_site_type_symbol
_atom_site_fract_x
_atom_site_fract_y
_atom_site_fract_z
K1 K 0.0000 0.0000 0.0000
Na1 Na 0.1657 0.5000 0.3717
Sb1 Sb 0.2100 0.5000 0.8834
# Magnetization, μB/f.u.: 0.0
# Total energy, eV per atom: -2.668